1.
Computed, not measured: a geometry-optimized YBeCuSb structure at the PBE level of DFT.

The value obtained for the volume is 18.5 A^3/atom. Its energy above the most stable polymorph in this dataset is 0 meV/atom.

It has space group F-43m (No. 216), with a = 6.6655 Å, b = 6.6655 Å, c = 6.6655 Å, α = 90.00°, β = 90.00° and γ = 90.00°. The distinct sites, in fractional coordinates, are Y at (0.0000, 0.0000, 0.0000), Be at (0.2500, 0.2500, 0.2500), Cu at (0.2500, 0.2500, 0.7500) and Sb at (0.0000, 0.0000, 0.5000).

=====

2.
Computed, not measured: a geometry-optimized Na2IrN structure at the PBE level of DFT.

The value obtained for the volume is 18.2 A^3/atom. Its energy above the most stable polymorph in this dataset is 0 meV/atom.

It has space group P-3m1 (No. 164), with a = 4.7467 Å, b = 4.7467 Å, c = 3.7327 Å, α = 90.00°, β = 90.00° and γ = 120.00°. The distinct sites, in fractional coordinates, are Na at (0.3333, 0.6667, 0.1837), Ir at (0.0000, 0.0000, 0.5000) and N at (0.0000, 0.0000, 0.0000).

=====

3.
Computed, not measured: a geometry-optimized Tb2DyTl3CuNi2 structure at the PBE level of DFT.

As for the uncorrected energy: -4.313 eV/atom. The value obtained for the volume is 21.1 A^3/atom.

It has space group Amm2 (No. 38), with a = 3.8188 Å, b = 13.1191 Å, c = 7.5765 Å, α = 90.00°, β = 90.00° and γ = 90.00°. The distinct sites, in fractional coordinates, are Tb at (0.0000, 0.2054, 0.0000), Dy at (0.0000, 0.0000, 0.3838), Tl at (0.5000, 0.0000, 0.0581), Tl at (0.5000, 0.1314, 0.6627), Cu at (0.0000, 0.0000, 0.7943) and Ni at (0.5000, 0.1663, 0.2946).